[1]
The following is a DFT calculation (PBE) of a relaxed structure of Mg5Pd2.

- Energy of formation from the pure elements: -3.22 eV per formula unit
- Fermi-level density of states: 0.374 states/eV/atom
- Calculated total energy: -3.08 eV/atom

Cell lengths 6.881, 13.230, 5.824 Å; angles 90.00, 90.00, 90.00 degrees
Space group Ibam (No. 72)
Inequivalent atoms, fractional coordinates:
Mg1 0.000 0.000 0.250
Mg2 0.000 0.232 0.250
Mg3 0.154 0.417 0.000
Pd1 0.234 0.377 0.500

[2]
The following is a DFT calculation (PBE) of a relaxed structure of Mg7Pd3.

- Energy of formation from the pure elements: -4.35 eV per formula unit
- Fermi-level density of states: 0.362 states/eV/atom
- Calculated total energy: -3.11 eV/atom

Cell lengths 8.9956, 8.9956, 5.5427 Å; angles 90.00, 90.00, 120.00 degrees
Space group P6_3mc (No. 186)
Inequivalent atoms, fractional coordinates:
Mg1 0.0649 0.5325 0.0000
Mg2 0.1253 0.2505 0.7621
Mg3 0.3333 0.6667 0.5729
Pd1 0.1953 0.3906 0.2987

[3]
The following is a DFT calculation (PBE) of a relaxed structure of Mg2Pd5.

- Energy of formation from the pure elements: -3.51 eV per formula unit
- Fermi-level density of states: 0.410 states/eV/atom
- Calculated total energy: -4.67 eV/atom

Cell lengths 12.599, 4.773, 7.363 Å; angles 90.00, 94.58, 90.00 degrees
Space group C2/c (No. 15)
Inequivalent atoms, fractional coordinates:
Mg1 0.079 0.190 0.104
Pd1 0.000 0.308 0.750
Pd2 0.139 0.318 0.460
Pd3 0.214 0.176 0.818

[4]
The following is a DFT calculation (PBE) of a relaxed structure of Mg5Pd2.

- Energy of formation from the pure elements: -2.31 eV per formula unit
- Fermi-level density of states: 0.558 states/eV/atom
- Calculated total energy: -2.95 eV/atom

Cell lengths 9.0386, 9.0386, 7.7179 Å; angles 90.00, 90.00, 120.00 degrees
Space group P6_3/mmc (No. 194)
Inequivalent atoms, fractional coordinates:
Mg1 0.0000 0.0000 0.0000
Mg2 0.0220 0.5110 0.2500
Mg3 0.2041 0.4082 0.5464
Pd1 0.1222 0.2444 0.2500
Pd2 0.3333 0.6667 0.2500

[5]
The following is a DFT calculation (PBE) of a relaxed structure of Mg2Pd5.

- Energy of formation from the pure elements: -3.20 eV per formula unit
- Fermi-level density of states: 0.751 states/eV/atom
- Calculated total energy: -4.62 eV/atom

Cell lengths 6.613, 12.292, 5.638 Å; angles 90.00, 90.00, 90.00 degrees
Space group Cccm (No. 66)
Inequivalent atoms, fractional coordinates:
Mg1 0.200 0.108 0.000
Pd1 0.000 0.271 0.250
Pd2 0.000 0.500 0.250
Pd3 0.210 0.115 0.500

[6]
The following is a DFT calculation (PBE) of a relaxed structure of Mg3Pd2.

- Energy of formation from the pure elements: -2.76 eV per formula unit
- Fermi-level density of states: 0.386 states/eV/atom
- Calculated total energy: -3.59 eV/atom

Cell lengths 7.9583, 7.9583, 15.1344 Å; angles 90.00, 90.00, 120.00 degrees
Space group R-3 (No. 148, hexagonal axes)
Inequivalent atoms, fractional coordinates:
Mg1 0.0000 0.0000 0.0000
Mg2 0.0000 0.0000 0.2063
Mg3 0.0115 0.7584 0.4101
Pd1 0.0306 0.6227 0.5737

[7]
The following is a DFT calculation (PBE) of a relaxed structure of Mg5Pd2.

- Energy of formation from the pure elements: -3.26 eV per formula unit
- Fermi-level density of states: 0.419 states/eV/atom
- Calculated total energy: -3.09 eV/atom

Cell lengths 5.055, 7.457, 7.710 Å; angles 97.87, 91.90, 108.96 degrees
Space group P-1 (No. 2)
Inequivalent atoms, fractional coordinates:
Mg1 0.078 0.309 0.062
Mg2 0.138 0.070 0.678
Mg3 0.280 0.701 0.429
Mg4 0.318 0.506 0.744
Mg5 0.421 0.067 0.174
Pd1 0.208 0.299 0.411
Pd2 0.424 0.699 0.085

[8]
The following is a DFT calculation (PBE) of a relaxed structure of MgPd4.

- Energy of formation from the pure elements: 3.08 eV per formula unit
- Fermi-level density of states: 0.937 states/eV/atom
- Calculated total energy: -3.86 eV/atom

Cell lengths 4.560, 4.560, 4.560 Å; angles 90.00, 90.00, 90.00 degrees
Space group Pm-3m (No. 221)
Inequivalent atoms, fractional coordinates:
Mg1 0.000 0.000 0.000
Pd1 0.000 0.000 0.500
Pd2 0.500 0.500 0.500